Computed, not measured: MgTlMo2As after structural relaxation at the PBE level of DFT.

Calculated values
Space group: P4/mmm
ΔE_f: 813 kJ/mol of formula units

Lattice parameters (Å, degrees): 4.948 4.688 4.948 90.00 90.00 90.00
Each line ends with the local moment (μB).
Fractional positions:
Mg 0.000 0.000 0.000  0.01
As 0.000 0.500 0.000  -0.09
Tl 0.500 0.500 0.500  -0.02
Mo 0.000 0.000 0.500  2.15
Mo 0.500 0.000 0.000  2.08

Computed, not measured: Mg3AsN4 after structural relaxation at the PBE level of DFT.

Calculated values
Space group: P-43m
Raw formation energy: -0.310 eV/atom

Lattice parameters (Å, degrees): 4.670 4.670 4.670 90.00 90.00 90.00
Each line ends with the local moment (μB).
Fractional positions:
Mg 0.000 0.500 0.500  0.00
Mg 0.500 0.500 0.000  0.00
Mg 0.500 0.000 0.500  0.00
As 0.000 0.000 0.000  -0.01
N 0.227 0.773 0.773  0.19
N 0.773 0.773 0.227  0.19
N 0.773 0.227 0.773  0.19
N 0.227 0.227 0.227  0.19

Computed, not measured: Mg12As3N5 after structural relaxation at the PBE level of DFT.

Calculated values
Space group: Ia-3d
Raw formation energy: -0.637 eV/atom

Lattice parameters (Å, degrees): 11.991 11.991 11.991 109.47 109.47 109.47
Fractional positions:
As 0.750 0.375 0.125
As 0.875 0.750 0.125
As 0.375 0.750 0.625
As 0.250 0.125 0.375
As 0.875 0.125 0.250
As 0.375 0.625 0.250
As 0.625 0.375 0.750
As 0.125 0.875 0.750
As 0.750 0.875 0.625
As 0.625 0.250 0.375
As 0.125 0.250 0.875
As 0.250 0.625 0.875
N 0.125 0.375 0.250
N 0.000 0.500 0.000
N 0.000 0.000 0.000
N 0.375 0.250 0.125
N 0.500 0.000 0.500
N 0.500 0.500 0.000
N 0.125 0.750 0.375
N 0.750 0.125 0.875
N 0.750 0.625 0.375
N 0.375 0.125 0.750
N 0.625 0.875 0.250
N 0.500 0.500 0.500
N 0.500 0.000 0.000
N 0.000 0.000 0.500
N 0.250 0.375 0.625
N 0.250 0.875 0.125
N 0.000 0.500 0.500
N 0.875 0.250 0.625
N 0.625 0.750 0.875
N 0.875 0.625 0.750
Mg 0.696 0.117 0.015
Mg 0.319 0.515 0.398
Mg 0.985 0.383 0.304
Mg 0.515 0.196 0.117
Mg 0.579 0.696 0.681
Mg 0.985 0.602 0.181
Mg 0.319 0.804 0.421
Mg 0.102 0.921 0.117
Mg 0.602 0.985 0.681
Mg 0.696 0.579 0.181
Mg 0.804 0.485 0.383
Mg 0.819 0.898 0.015
Mg 0.117 0.696 0.515
Mg 0.383 0.398 0.079
Mg 0.079 0.898 0.383
Mg 0.421 0.117 0.602
Mg 0.079 0.181 0.196
Mg 0.485 0.681 0.102
Mg 0.819 0.921 0.304
Mg 0.117 0.421 0.102
Mg 0.383 0.985 0.804
Mg 0.602 0.617 0.421
Mg 0.898 0.819 0.515
Mg 0.804 0.319 0.921
Mg 0.398 0.383 0.579
Mg 0.102 0.181 0.485
Mg 0.196 0.681 0.079
Mg 0.181 0.079 0.696
Mg 0.617 0.015 0.196
Mg 0.883 0.579 0.898
Mg 0.515 0.319 0.898
Mg 0.579 0.883 0.398
Mg 0.921 0.819 0.804
Mg 0.921 0.102 0.617
Mg 0.883 0.304 0.485
Mg 0.181 0.102 0.985
Mg 0.617 0.602 0.921
Mg 0.398 0.015 0.319
Mg 0.304 0.421 0.819
Mg 0.196 0.515 0.617
Mg 0.898 0.079 0.883
Mg 0.681 0.196 0.579
Mg 0.485 0.804 0.883
Mg 0.015 0.398 0.819
Mg 0.421 0.304 0.319
Mg 0.015 0.617 0.696
Mg 0.681 0.485 0.602
Mg 0.304 0.883 0.985

Computed, not measured: MgAsN after structural relaxation at the PBE level of DFT.

Calculated values
Space group: Immm
Raw formation energy: 0.422 eV/atom

Lattice parameters (Å, degrees): 3.326 4.995 5.964 114.76 106.19 90.00
Fractional positions:
N 0.832 0.332 0.664
N 0.168 0.668 0.336
As 0.500 0.732 0.000
As 0.500 0.268 0.000
Mg 0.210 0.210 0.419
Mg 0.790 0.790 0.581

Computed, not measured: MgAs3N after structural relaxation at the PBE level of DFT.

Calculated values
Space group: Pm-3m
Raw formation energy: 0.536 eV/atom
Energy relative to the lowest polymorph listed for this composition: 0.000 eV per atom

Lattice parameters (Å, degrees): 4.412 4.412 4.412 90.00 90.00 90.00
Fractional positions:
As 0.000 0.500 0.000
As 0.000 0.000 0.500
As 0.500 0.000 0.000
Mg 0.500 0.500 0.500
N 0.000 0.000 0.000

Computed, not measured: MgAs2N after structural relaxation at the PBE level of DFT.

Calculated values
Space group: Fm-3m
Raw formation energy: 1.080 eV/atom
Energy relative to the lowest polymorph listed for this composition: 0.646 eV per atom

Lattice parameters (Å, degrees): 4.492 4.492 4.492 60.00 60.00 60.00
Fractional positions:
As 0.250 0.250 0.250
As 0.750 0.750 0.750
Mg 0.500 0.500 0.500
N 0.000 0.000 0.000

Computed, not measured: Mg2AsN after structural relaxation at the PBE level of DFT.

Calculated values
Space group: Fm-3m
Raw formation energy: 0.314 eV/atom
Energy relative to the lowest polymorph listed for this composition: 0.501 eV per atom

Lattice parameters (Å, degrees): 4.420 4.420 4.420 60.00 60.00 60.00
Fractional positions:
As 0.500 0.500 0.500
Mg 0.250 0.250 0.250
Mg 0.750 0.750 0.750
N 0.000 0.000 0.000

Computed, not measured: Mg2AsN after structural relaxation at the PBE level of DFT.

Calculated values
Space group: I-42d
Raw formation energy: -0.187 eV/atom
Energy relative to the lowest polymorph listed for this composition: 0.000 eV per atom

Lattice parameters (Å, degrees): 5.950 5.950 5.955 60.03 60.03 90.00
Fractional positions:
As 0.000 0.000 0.000
As 0.750 0.250 0.500
Mg 0.509 0.125 0.250
Mg 0.241 0.625 0.250
Mg 0.375 0.491 0.750
Mg 0.875 0.759 0.750
N 0.500 0.500 0.000
N 0.250 0.750 0.500

Computed, not measured: MgAs3N after structural relaxation at the PBE level of DFT.

Calculated values
Space group: Pm-3m
Raw formation energy: 1.688 eV/atom
Energy relative to the lowest polymorph listed for this composition: 1.152 eV per atom

Lattice parameters (Å, degrees): 4.991 4.991 4.991 90.00 90.00 90.00
Each line ends with the local moment (μB).
Fractional positions:
As 0.000 0.500 0.000  0.04
As 0.000 0.000 0.500  -0.02
As 0.500 0.000 0.000  0.02
Mg 0.000 0.000 0.000  0.00
N 0.500 0.500 0.500  1.75

Computed, not measured: Mg4AsN2 after structural relaxation at the PBE level of DFT.

Calculated values
Space group: Imma
Raw formation energy: -0.410 eV/atom

Lattice parameters (Å, degrees): 6.123 6.884 6.884 62.55 63.59 63.59
Fractional positions:
Mg 0.285 0.176 0.253
Mg 0.285 0.753 0.676
Mg 0.268 0.243 0.743
Mg 0.747 0.243 0.743
Mg 0.253 0.757 0.257
Mg 0.715 0.247 0.324
Mg 0.732 0.757 0.257
Mg 0.715 0.824 0.747
As 0.000 0.500 0.000
As 0.500 0.500 0.000
N 0.145 0.105 0.605
N 0.500 0.000 0.000
N 0.500 0.500 0.500
N 0.855 0.895 0.395

Computed, not measured: MgAs2N after structural relaxation at the PBE level of DFT.

Calculated values
Space group: I-42d
Raw formation energy: 0.434 eV/atom
Energy relative to the lowest polymorph listed for this composition: 0.000 eV per atom

Lattice parameters (Å, degrees): 6.078 6.078 5.801 58.41 58.41 90.00
Fractional positions:
As 0.537 0.125 0.250
As 0.213 0.625 0.250
As 0.375 0.463 0.750
As 0.875 0.787 0.750
Mg 0.000 0.000 0.000
Mg 0.750 0.250 0.500
N 0.500 0.500 0.000
N 0.250 0.750 0.500

Computed, not measured: MgAsN2O after structural relaxation at the PBE level of DFT.

Calculated values
Space group: P4/mmm
Raw formation energy: 0.251 eV/atom

Lattice parameters (Å, degrees): 3.727 3.727 3.833 90.00 90.00 90.00
Each line ends with the local moment (μB).
Fractional positions:
As 0.000 0.000 0.000  -0.01
Mg 0.500 0.500 0.500  0.00
O 0.000 0.000 0.500  0.07
N 0.000 0.500 0.000  0.20
N 0.500 0.000 0.000  0.20